No. 1
KYCd4 | PBE-GGA | optimized geometry

Unit cell a=8.5947 b=8.5947 c=8.5947 alpha=90.00 beta=90.00 gamma=90.00
Space group F-43m (No. 216)
Asymmetric unit:
K1 0.0000 0.0000 0.0000 x4
Y1 0.2500 0.2500 0.7500 x4
Cd1 0.1245 0.1245 0.3755 x16

=====

No. 2
K3YCd | PBE-GGA | optimized geometry

Unit cell a=6.5515 b=6.5515 c=6.5515 alpha=90.00 beta=90.00 gamma=90.00
Space group Pm-3m (No. 221)
Asymmetric unit:
K1 0.0000 0.0000 0.5000 x3
Y1 0.5000 0.5000 0.5000 x1
Cd1 0.0000 0.0000 0.0000 x1

Offset from the most stable computed form ... 0 meV per atom

=====

No. 3
KYCd3 | PBE-GGA | optimized geometry

Unit cell a=5.9933 b=5.9933 c=5.9933 alpha=90.00 beta=90.00 gamma=90.00
Space group Pm-3m (No. 221)
Asymmetric unit:
K1 0.0000 0.0000 0.0000 x1
Y1 0.5000 0.5000 0.5000 x1
Cd1 0.0000 0.5000 0.5000 x3

Offset from the most stable computed form ... 0 meV per atom

=====

No. 4
K4YCd | PBE-GGA | optimized geometry

Unit cell a=10.6121 b=10.6121 c=10.6121 alpha=90.00 beta=90.00 gamma=90.00
Space group F-43m (No. 216)
Asymmetric unit:
K1 0.1245 0.1245 0.3755 x16
Y1 0.0000 0.0000 0.0000 x4
Cd1 0.2500 0.2500 0.7500 x4

=====

No. 5
K3YCd | PBE-GGA | optimized geometry

Unit cell a=7.3708 b=7.3708 c=7.3708 alpha=90.00 beta=90.00 gamma=90.00
Space group Pm-3m (No. 221)
Asymmetric unit:
K1 0.0000 0.0000 0.5000 x3
Y1 0.0000 0.0000 0.0000 x1
Cd1 0.5000 0.5000 0.5000 x1

Offset from the most stable computed form ... 283 meV per atom

=====

No. 6
KY4Cd | PBE-GGA | optimized geometry

Unit cell a=9.4553 b=9.4553 c=9.4553 alpha=90.00 beta=90.00 gamma=90.00
Space group F-43m (No. 216)
Asymmetric unit:
K1 0.0000 0.0000 0.0000 x4
Y1 0.1231 0.1231 0.6231 x16
Cd1 0.2500 0.2500 0.2500 x4

=====

No. 7
KZn2Cd10 | PBE-GGA | optimized geometry

Unit cell a=10.0304 b=11.7490 c=10.1104 alpha=90.00 beta=90.00 gamma=90.00
Space group Cmcm (No. 63)
Asymmetric unit:
K1 0.0000 0.1244 0.2500 x4
Zn1 0.2500 0.2500 0.0000 x8
Cd1 0.0000 0.1538 0.6011 x8
Cd2 0.0000 0.3785 0.0423 x8
Cd3 0.1507 0.3769 0.7500 x8
Cd4 0.2225 0.0000 0.0000 x8
Cd5 0.2239 0.3675 0.2500 x8

=====

No. 8
K3ZnCd4 | PBE-GGA | optimized geometry

Unit cell a=6.2697 b=7.6121 c=11.2043 alpha=90.00 beta=90.00 gamma=90.00
Space group Imm2 (No. 44)
Asymmetric unit:
K1 0.0000 0.0000 0.0000 x2
K2 0.0000 0.2440 0.3411 x4
Zn1 0.0000 0.5000 0.8832 x2
Cd1 0.0000 0.3056 0.6729 x4
Cd2 0.2419 0.5000 0.0908 x4

=====

No. 9
KZn2Cd | PBE-GGA | optimized geometry

Unit cell a=9.4152 b=3.4108 c=6.7575 alpha=90.00 beta=99.98 gamma=90.00
Space group C2/m (No. 12)
Asymmetric unit:
K1 0.0000 0.0000 0.0000 x2
Zn1 0.2348 0.0000 0.6495 x4
Cd1 0.0000 0.5000 0.5000 x2

=====

No. 10
KZnCd3 | PBE-GGA | optimized geometry

Unit cell a=7.3751 b=13.2750 c=5.3479 alpha=90.00 beta=90.00 gamma=90.00
Space group Cmcm (No. 63)
Asymmetric unit:
K1 0.0000 0.0946 0.2500 x4
Zn1 0.0000 0.5000 0.0000 x4
Cd1 0.0000 0.3071 0.7500 x4
Cd2 0.2091 0.3417 0.2500 x8

Offset from the most stable computed form ... 0 meV per atom

=====

No. 11
K2ZnCd | PBE-GGA | optimized geometry

Unit cell a=8.1753 b=8.1753 c=8.1753 alpha=90.00 beta=90.00 gamma=90.00
Space group F-43m (No. 216)
Asymmetric unit:
K1 0.0000 0.0000 0.0000 x4
K2 0.2500 0.2500 0.2500 x4
Zn1 0.2500 0.2500 0.7500 x4
Cd1 0.0000 0.0000 0.5000 x4

Offset from the most stable computed form ... 120 meV per atom

=====

No. 12
KZnCd3 | PBE-GGA | optimized geometry

Unit cell a=5.2668 b=5.2668 c=5.2668 alpha=90.00 beta=90.00 gamma=90.00
Space group Pm-3m (No. 221)
Asymmetric unit:
K1 0.0000 0.0000 0.0000 x1
Zn1 0.5000 0.5000 0.5000 x1
Cd1 0.0000 0.5000 0.5000 x3

Offset from the most stable computed form ... 80 meV per atom

=====

Number 1: formation energy from the elements -0.07 eV per atom, spin magnetization 0.00 μB/atom. Number 2: formation energy from the elements 0.60 eV per atom, spin magnetization 0.00 μB/atom. Number 3: formation energy from the elements 0.30 eV per atom, spin magnetization 0.00 μB/atom. Number 4: formation energy from the elements 0.53 eV per atom, spin magnetization 0.00 μB/atom. Number 5: formation energy from the elements 0.88 eV per atom, spin magnetization 0.77 μB/atom. Number 6: formation energy from the elements 0.45 eV per atom, spin magnetization 0.00 μB/atom. Number 7: formation energy from the elements -0.02 eV per atom, spin magnetization 0.00 μB/atom. Number 8: formation energy from the elements -0.04 eV per atom, spin magnetization 0.00 μB/atom. Number 9: formation energy from the elements 0.10 eV per atom, spin magnetization 0.00 μB/atom. Number 10: formation energy from the elements -0.03 eV per atom, spin magnetization 0.00 μB/atom. Number 11: formation energy from the elements 0.13 eV per atom, spin magnetization 0.00 μB/atom. Number 12: formation energy from the elements 0.05 eV per atom, spin magnetization 0.00 μB/atom.